No. 1
Below is Tb2CeThS4 after structural relaxation, with properties calculated at the PBE level.

a = 3.955 Å, b = 6.978 Å, c = 6.834 Å
α = 70.91°, β = 90.00°, γ = 90.00°
Element x y z (fractional)
Tb 0.000 0.000 0.000
Tb 0.500 0.000 0.500
S 0.500 0.238 0.755
S 0.000 0.761 0.747
S 0.000 0.239 0.253
S 0.500 0.762 0.245
Ce 0.500 0.500 0.000
Th 0.000 0.500 0.500

## Properties
Uncorrected energy = -6.867 eV/atom

No. 2
Below is Cs2PbCBr6 after structural relaxation, with properties calculated at the PBE level.

a = 7.803 Å, b = 7.803 Å, c = 7.800 Å
α = 59.99°, β = 59.99°, γ = 90.00°
Element x y z (fractional)
Pb 0.000 0.000 0.000
Cs 0.750 0.250 0.500
Cs 0.250 0.750 0.500
Br 0.729 0.729 0.000
Br 0.271 0.271 0.000
Br 0.729 0.729 0.542
Br 0.271 0.729 0.000
Br 0.271 0.271 0.458
Br 0.729 0.271 0.000
C 0.500 0.500 0.000

## Properties
Uncorrected energy = -3.010 eV/atom